The following is a DFT calculation (GGA-PBE) of crystalline SrLiTmTe3 at its relaxed geometry.

Its energy is -4.313 eV/atom. The value obtained for the distance to the lowest polymorph of the same formula is 0.049 eV per formula unit.

The structure belongs to space group Pnma (No. 62); the cell edges are 14.6889, 4.4111 and 11.5083 Å and the angles 90.00°, 90.00° and 90.00°. The distinct sites, in fractional coordinates, are Sr at (0.2248, 0.2500, 0.0396), Li at (0.0071, 0.7500, 0.0910), Tm at (0.0163, 0.2500, 0.3325), Te at (0.1036, 0.7500, 0.8827), Te at (0.1074, 0.2500, 0.5698) and Te at (0.1468, 0.7500, 0.2529).



The following is a DFT calculation (GGA-PBE) of crystalline SrLiTmTe3 at its relaxed geometry.

Its energy is -4.317 eV/atom. The value obtained for the distance to the lowest polymorph of the same formula is 0.025 eV per formula unit.

The structure belongs to space group C2/m (No. 12); the cell edges are 19.0502, 4.3917 and 9.1967 Å and the angles 90.00°, 103.77° and 90.00°. The distinct sites, in fractional coordinates, are Sr at (0.1332, 0.0000, 0.0680), Li at (0.0175, 0.5000, 0.7049), Tm at (0.1656, 0.0000, 0.5852), Te at (0.0000, 0.0000, 0.5000), Te at (0.0000, 0.5000, 0.0000), Te at (0.1690, 0.5000, 0.3566) and Te at (0.1778, 0.5000, 0.8197).